Record 1
Compound: Fe2SbOs
Source: Alexandria
Functional: PBEsol
Structure: relaxed

abc: 2.795 2.795 6.886
angles: 90.00 90.00 90.00
Atoms (fractional coordinates):
Fe  0.000  0.000  0.235
Fe  0.000  0.000  0.765
Sb  0.500  0.500  0.500
Os  0.500  0.500  0.000

Properties
As for the uncorrected formation energy: 412 meV per atom. The symmetry is P4/mmm (123).


Record 2
Compound: YAsIrBr2
Source: Alexandria
Functional: PBEsol
Structure: relaxed

abc: 5.201 5.201 5.786
angles: 90.00 90.00 90.00
Atoms (fractional coordinates):
Y  0.000  0.000  0.000
As  0.000  0.000  0.500
Ir  0.500  0.500  0.500
Br  0.000  0.500  0.000
Br  0.500  0.000  0.000

Properties
As for the uncorrected formation energy: 670 meV per atom. The symmetry is P4/mmm (123).


Record 3
Compound: Ni3Rh2
Source: Alexandria
Functional: PBEsol
Structure: relaxed

abc: 2.590 2.590 17.398
angles: 90.00 90.00 90.00
Atoms (fractional coordinates):
Ni  0.000  0.000  0.000
Ni  0.000  0.000  0.203
Ni  0.000  0.000  0.797
Ni  0.500  0.500  0.297
Ni  0.500  0.500  0.500
Ni  0.500  0.500  0.703
Rh  0.000  0.000  0.398
Rh  0.000  0.000  0.602
Rh  0.500  0.500  0.102
Rh  0.500  0.500  0.898

Properties
The calculation puts the energy relative to the elements at 6 kJ per mole of atoms. The symmetry is I4/mmm (139). As for the energy above the most stable polymorph in this dataset: 7 meV per atom.